A relaxed SrCaO2 crystal. Source: Alexandria via LeMat-Bulk, functional GGA-PBEsol.

Properties
Calculated volume: 15.37 Å³ per atom
DOS at the Fermi energy: 0.0 states/eV per cell
ρ: 4312 kg/m3
Space-group type: P4/mmm (123)
ΔE to the lowest computed polymorph: 0.00 kJ/mol of atoms

Lattice parameters (Å, degrees): 3.5175 3.5175 4.9702 90.00 90.00 90.00
With the nearest neighbours (Å) after each atom.
Fractional coordinates of all 4 atoms:
Sr: 0.5000 0.5000 0.0000  6 O 2.49
Ca: 0.0000 0.0000 0.5000  6 O 2.49
O: 0.5000 0.5000 0.5000  2 Sr 2.49, 4 Ca 2.49
O: 0.0000 0.0000 0.0000  2 Ca 2.49, 4 Sr 2.49


A relaxed SrCaO2 crystal. Source: Alexandria via LeMat-Bulk, functional GGA-PBEsol.

Properties
Calculated volume: 13.47 Å³ per atom
DOS at the Fermi energy: 0.0 states/eV per cell
ρ: 4921 kg/m3
Space-group type: Fm-3m (225)
ΔE to the lowest computed polymorph: 38.48 kJ/mol of atoms

Lattice parameters (Å, degrees): 4.2397 4.2397 4.2397 60.00 60.00 60.00
With the nearest neighbours (Å) after each atom.
Fractional coordinates of all 4 atoms:
O: 0.7500 0.7500 0.7500  4 Sr 2.60, 4 Ca 2.60
O: 0.2500 0.2500 0.2500  4 Ca 2.60, 4 Sr 2.60
Ca: 0.0000 0.0000 0.0000  8 O 2.60
Sr: 0.5000 0.5000 0.5000  8 O 2.60


A relaxed SrCaO2 crystal. Source: Alexandria via LeMat-Bulk, functional GGA-PBEsol.

Properties
Calculated volume: 19.30 Å³ per atom
DOS at the Fermi energy: 0.0 states/eV per cell
ρ: 3435 kg/m3
Space-group type: I-42d (122)
ΔE to the lowest computed polymorph: 15.29 kJ/mol of atoms

Lattice parameters (Å, degrees): 5.3925 5.3925 6.5368 114.36 114.36 90.00
With the nearest neighbours (Å) after each atom.
Fractional coordinates of all 8 atoms:
O: 0.1250 0.1478 0.7500  2 Ca 2.25, 2 Sr 2.40
O: 0.3978 0.8750 0.2500  2 Ca 2.25, 2 Sr 2.40
O: 0.8522 0.3750 0.2500  2 Ca 2.25, 2 Sr 2.40
O: 0.6250 0.6022 0.7500  2 Ca 2.25, 2 Sr 2.40
Sr: 0.0000 0.0000 0.0000  4 O 2.40
Sr: 0.2500 0.7500 0.5000  4 O 2.40
Ca: 0.5000 0.5000 0.0000  4 O 2.25
Ca: 0.7500 0.2500 0.5000  4 O 2.25


A relaxed Sr2CaTaO crystal. Source: Alexandria via LeMat-Bulk, functional GGA-PBEsol.

Properties
Calculated volume: 33.20 Å³ per atom
Total DFT energy (no corrections): -4.184 eV per atom
DOS at the Fermi energy: 4.0 states/eV per cell
ρ: 4124 kg/m3
Space-group type: P4/mmm (123)

Lattice parameters (Å, degrees): 3.9847 6.4547 6.4547 90.00 90.00 90.00
With the nearest neighbours (Å) after each atom.
Fractional coordinates of all 5 atoms:
Sr: 0.0000 0.0000 0.5000  2 Ca 3.23
Sr: 0.0000 0.5000 0.0000  2 Ca 3.23
O: 0.5000 0.0000 0.0000  2 Ca 1.99
Ca: 0.0000 0.0000 0.0000  2 O 1.99
Ta: 0.5000 0.5000 0.5000  8 Sr 3.79, 2 Ta 3.98


A relaxed SrCa2Te3O9 crystal. Source: Alexandria via LeMat-Bulk, functional GGA-PBEsol.

Properties
Calculated volume: 17.32 Å³ per atom
Total DFT energy (no corrections): -6.237 eV per atom
DOS at the Fermi energy: 0.0 states/eV per cell
ρ: 4441 kg/m3
Space-group type: P2_1 (4)

Lattice parameters (Å, degrees): 5.6984 8.6054 11.3018 110.40 90.00 90.00
With the nearest neighbours (Å) after each atom.
Fractional coordinates of all 30 atoms:
O: 0.1248 0.7283 0.6895  1 Te 1.87
O: 0.5716 0.9178 0.7786  1 Te 1.88
O: 0.8235 0.1838 0.5198  1 Te 1.88
O: 0.3516 0.1681 0.4898  1 Te 1.87
O: 0.8516 0.8319 0.5102  1 Te 1.87
O: 0.2568 0.1546 0.7513  1 Te 1.88
O: 0.7377 0.7898 0.9476  1 Te 1.90
O: 0.6727 0.5331 0.0906  1 Te 1.90
O: 0.7568 0.8454 0.2487  1 Te 1.88
O: 0.3235 0.8162 0.4802  1 Te 1.88
O: 0.0716 0.0822 0.2214  1 Te 1.88
O: 0.6248 0.2717 0.3105  1 Te 1.87
O: 0.7870 0.2378 0.7913  1 Te 1.90
O: 0.2607 0.8318 0.9481  1 Te 1.89
O: 0.7607 0.1682 0.0519  1 Te 1.89
O: 0.2377 0.2102 0.0524  1 Te 1.90
O: 0.1727 0.4669 0.9094  1 Te 1.90
O: 0.2870 0.7622 0.2087  1 Te 1.90
Te: 0.5894 0.3145 0.4834  3 O 1.87-1.88
Te: 0.0894 0.6855 0.5166  3 O 1.87-1.88
Te: 0.4936 0.7355 0.8259  3 O 1.88-1.90
Te: 0.5623 0.6696 0.2515  3 O 1.88-1.90
Te: 0.0623 0.3304 0.7485  3 O 1.88-1.90
Te: 0.9936 0.2645 0.1741  3 O 1.88-1.90
Ca: 0.0606 0.9797 0.3843  7 O 2.30-2.55
Ca: 0.5606 0.0203 0.6157  7 O 2.30-2.55
Ca: 0.5023 0.3039 0.9484  5 O 2.23-2.47
Ca: 0.0023 0.6961 0.0516  5 O 2.23-2.47
Sr: 0.9932 0.9938 0.8612  8 O 2.49-2.75
Sr: 0.4932 0.0062 0.1388  8 O 2.49-2.75


A relaxed SrCa2TeO crystal. Source: Alexandria via LeMat-Bulk, functional GGA-PBEsol.

Properties
Calculated volume: 34.18 Å³ per atom
Total DFT energy (no corrections): -3.381 eV per atom
DOS at the Fermi energy: 3.4 states/eV per cell
ρ: 3025 kg/m3
Space-group type: P4/mmm (123)

Lattice parameters (Å, degrees): 4.3673 6.2559 6.2559 90.00 90.00 90.00
With the nearest neighbours (Å) after each atom.
Fractional coordinates of all 5 atoms:
Ca: 0.0000 0.0000 0.5000  2 Sr 3.13
Ca: 0.0000 0.5000 0.0000  2 Sr 3.13
O: 0.5000 0.0000 0.0000  2 Sr 2.18
Te: 0.5000 0.5000 0.5000  8 Ca 3.81
Sr: 0.0000 0.0000 0.0000  2 O 2.18


- Which of these has the highest ρ?
  number 2


- Which value of ρ does entry 5 give?
  4441 kg/m3